Entry 1:
This record from Alexandria via LeMat-Bulk describes a geometry-optimized MgFeRu structure. The functional is PBE.

Cell lengths 2.9953, 2.9953, 9.9943 Å; angles 90.00, 90.00, 90.00 degrees
Last column: nearest neighbours and their distance in Å.
Space group P4/nmm (No. 129, origin choice 2)
Asymmetric unit:
Mg 0.2500 0.2500 0.1185 (multiplicity 2)  4 Ru 2.74, 4 Mg 3.00
Fe 0.2500 0.2500 0.4287 (multiplicity 2)  5 Ru 2.52-2.79, 4 Fe 2.55
Ru 0.2500 0.2500 0.7076 (multiplicity 2)  5 Fe 2.52-2.79, 4 Mg 2.74

## Properties
Total moment (μB per formula unit): 2.42
Formation enthalpy at 0 K (eV/atom): 0.057

***

Entry 2:
This record from Alexandria via LeMat-Bulk describes a geometry-optimized Pm2ScReN5 structure. The functional is PBE.

Cell lengths 3.4007, 13.5209, 10.4388 Å; angles 90.00, 90.00, 90.00 degrees
Last column: nearest neighbours and their distance in Å.
Space group Cmc2_1 (No. 36)
Asymmetric unit:
Pm 0.0000 0.1122 0.0000 (multiplicity 4)  5 N 2.33-2.60
Pm 0.0000 0.1522 0.6181 (multiplicity 4)  7 N 2.43-2.71
Sc 0.0000 0.2143 0.3309 (multiplicity 4)  6 N 2.16-2.31
Re 0.0000 0.4718 0.7665 (multiplicity 4)  3 N 1.84-1.93
N 0.0000 0.0443 0.3508 (multiplicity 4)  2 Re 1.93
N 0.0000 0.2837 0.9746 (multiplicity 4)  2 Sc 2.27, 3 Pm 2.33-2.43
N 0.0000 0.3275 0.6967 (multiplicity 4)  1 Re 2.08, 2 Sc 2.27
N 0.0000 0.3736 0.3174 (multiplicity 4)  1 Re 2.16, 1 Sc 2.16
N 0.0000 0.4884 0.0981 (multiplicity 4)  1 Re 1.84

## Properties
Total moment (μB per formula unit): 0.00
Total DFT energy (no corrections) (eV/atom): -8.7928

***

Entry 3:
This record from Alexandria via LeMat-Bulk describes a geometry-optimized Ca2Pr2Er structure. The functional is PBE.

Cell lengths 4.6227, 4.6227, 17.7816 Å; angles 90.00, 90.00, 90.00 degrees
Last column: nearest neighbours and their distance in Å.
Space group I4/mmm (No. 139)
Asymmetric unit:
Ca 0.0000 0.5000 0.2500 (multiplicity 4)  4 Ca 3.27
Pr 0.0000 0.0000 0.0882 (multiplicity 4)  1 Pr 3.14
Er 0.0000 0.0000 0.5000 (multiplicity 2)  8 Pr 3.63

## Properties
Total moment (μB per formula unit): 0.00
Formation enthalpy at 0 K (eV/atom): 0.372